The following is a DFT calculation (PBE) of a geometry-optimized Y3PtRh8 structure.

abc: 5.2884 5.2884 9.1751
angles: 73.25 73.25 60.00
Sites, in units of the cell vectors:
Rh: 0.5623 0.5623 0.8142
Rh: 0.8106 0.8106 0.5681
Rh: 0.3113 0.3113 0.0662
Rh: 0.5612 0.0602 0.3184
Rh: 0.0612 0.5623 0.8142
Rh: 0.0602 0.0602 0.3184
Rh: 0.0602 0.5612 0.3184
Rh: 0.5623 0.0612 0.8142
Y: 0.0104 0.0104 0.9688
Y: 0.4926 0.4926 0.5222
Y: 0.6237 0.6237 0.1288
Pt: 0.1339 0.1339 0.5982

Summary:
V: 17.5 A^3/atom
symmetry: R3m (160)
DOS(E_F): 13.6 states/eV/f.u.
raw total energy: -7.562 eV per atom

---

The following is a DFT calculation (PBE) of a geometry-optimized Y2PtRh structure.

abc: 6.1335 6.1335 6.1335
angles: 60.42 150.80 128.37
Sites, in units of the cell vectors:
Rh: 0.0000 0.0000 0.0000
Y: 0.0000 0.2447 0.2447
Y: 0.0000 0.7553 0.7553
Pt: 0.0000 0.5000 0.5000

Summary:
V: 21.9 A^3/atom
symmetry: Immm (71)
DOS(E_F): 3.3 states/eV/f.u.
raw total energy: -6.384 eV per atom

---

The following is a DFT calculation (PBE) of a geometry-optimized Zn3PtRh2 structure.

abc: 3.0453 3.0453 9.0740
angles: 90.00 90.00 90.00
Sites, in units of the cell vectors:
Pt: 0.5000 0.5000 0.5000
Zn: 0.0000 0.0000 0.0000
Zn: 0.0000 0.0000 0.3257
Zn: 0.0000 0.0000 0.6743
Rh: 0.5000 0.5000 0.8350
Rh: 0.5000 0.5000 0.1650

Summary:
V: 14.0 A^3/atom
symmetry: P4/mmm (123)
DOS(E_F): 2.1 states/eV/f.u.
raw total energy: -4.555 eV per atom
energy above the lowest structure with this stoichiometry: 13 kJ/mol of formula units

---

The following is a DFT calculation (PBE) of a geometry-optimized ZnPt6Rh5 structure.

abc: 3.9069 7.2948 7.2948
angles: 106.31 105.54 105.54
Sites, in units of the cell vectors:
Zn: 0.0000 0.0000 0.0000
Pt: 0.2524 0.7528 0.7528
Pt: 0.7521 0.5856 0.9188
Pt: 0.2479 0.4144 0.0812
Pt: 0.7521 0.9188 0.5856
Pt: 0.2479 0.0812 0.4144
Pt: 0.7476 0.2472 0.2472
Rh: 0.0000 0.3354 0.6646
Rh: 0.5000 0.5000 0.5000
Rh: 0.0000 0.6646 0.3354
Rh: 0.5000 0.8338 0.1662
Rh: 0.5000 0.1662 0.8338

Summary:
V: 14.9 A^3/atom
symmetry: Immm (71)
DOS(E_F): 20.8 states/eV/f.u.
raw total energy: -6.294 eV per atom

---

The following is a DFT calculation (PBE) of a geometry-optimized ZnPt8Rh2 structure.

abc: 3.9438 6.2270 7.3433
angles: 104.90 105.58 90.00
Sites, in units of the cell vectors:
Pt: 0.9545 0.2711 0.9090
Pt: 0.0455 0.7289 0.0910
Pt: 0.4075 0.5527 0.8150
Pt: 0.8640 0.8169 0.7280
Pt: 0.1360 0.1831 0.2720
Pt: 0.3189 0.0855 0.6379
Pt: 0.6811 0.9145 0.3621
Pt: 0.5925 0.4473 0.1850
Rh: 0.2239 0.6325 0.4478
Rh: 0.7761 0.3675 0.5522
Zn: 0.5000 0.0000 0.0000

Summary:
V: 15.2 A^3/atom
symmetry: C2/m (12)
DOS(E_F): 15.1 states/eV/f.u.
raw total energy: -5.980 eV per atom
energy above the lowest structure with this stoichiometry: 0 kJ/mol of formula units

---

The following is a DFT calculation (PBE) of a geometry-optimized ZnPtRh structure.

abc: 7.1188 6.8686 2.7330
angles: 83.93 73.63 22.44
Sites, in units of the cell vectors:
Pt: 0.9954 0.9954 0.0046
Zn: 0.3309 0.3309 0.6691
Rh: 0.6737 0.6737 0.3263

Summary:
V: 14.8 A^3/atom
symmetry: Fmm2 (42)
DOS(E_F): 4.6 states/eV/f.u.
raw total energy: -5.042 eV per atom
energy above the lowest structure with this stoichiometry: 49 kJ/mol of formula units

---

The following is a DFT calculation (PBE) of a geometry-optimized Zn8Pt2Rh structure.

abc: 4.2145 6.9505 6.9090
angles: 120.20 107.76 90.00
Sites, in units of the cell vectors:
Zn: 0.3561 0.1516 0.7121
Zn: 0.6439 0.8484 0.2879
Zn: 0.0000 0.6933 0.0000
Zn: 0.0000 0.3067 0.0000
Zn: 0.1447 0.1447 0.2894
Zn: 0.3561 0.5605 0.7121
Zn: 0.6439 0.4395 0.2879
Zn: 0.8553 0.8553 0.7105
Rh: 0.5000 0.0000 0.0000
Pt: 0.2082 0.7082 0.4165
Pt: 0.7918 0.2918 0.5835

Summary:
V: 14.9 A^3/atom
symmetry: Immm (71)
DOS(E_F): 3.1 states/eV/f.u.
raw total energy: -3.071 eV per atom

---

The following is a DFT calculation (PBE) of a geometry-optimized ZnPtRh4 structure.

abc: 5.0918 5.0918 5.0918
angles: 60.00 60.00 60.00
Sites, in units of the cell vectors:
Rh: 0.3750 0.3750 0.3750
Rh: 0.3750 0.8749 0.3750
Rh: 0.3750 0.3750 0.8749
Rh: 0.8749 0.3750 0.3750
Pt: 0.0000 0.0000 0.0000
Zn: 0.7500 0.7500 0.7500

Summary:
V: 15.6 A^3/atom
symmetry: F-43m (216)
DOS(E_F): 11.1 states/eV/f.u.
raw total energy: -5.829 eV per atom
energy above the lowest structure with this stoichiometry: 224 kJ/mol of formula units

---

For each record above, in turn, the calculated size of the total moment values are 0.0; 0.0; 0.0; 0.0; 0.0; 0.0; 0.0; 0.0 μB/cell.
For each record above, in turn, the calculated energy of formation from the pure elements values are -542; 196; -461; -104; -134; -154; -378; 291 meV per atom.